# 1
A plane-wave DFT calculation with PBE-GGA was carried out for crystalline MoS2BrN at its relaxed geometry.

The space group is P4/mmm (No. 123) and the conventional cell measures 4.8424, 4.8424 and 3.8542 Å, with angles of 90.00, 90.00 and 90.00 degrees. The distinct sites, in fractional coordinates, are Mo at (0.0000, 0.0000, 0.0000), S at (0.0000, 0.5000, 0.0000), Br at (0.5000, 0.5000, 0.5000) and N at (0.0000, 0.0000, 0.5000).

As for the volume: 18.08 Å³ per atom. As for the energy above the most stable polymorph in this dataset: 0 meV per atom. For the total energy, the calculation gives -27.16 eV/cell. The value obtained for the uncorrected formation energy is 0.385 eV/atom. Its density of states at the Fermi level is 0.982 states/eV per atom.



# 2
A plane-wave DFT calculation with PBE-GGA was carried out for crystalline Tb2Pm2NdHo at its relaxed geometry.

The space group is Pnnm (No. 58) and the conventional cell measures 6.6560, 17.9913 and 3.4089 Å, with angles of 90.00, 90.00 and 90.00 degrees. The distinct sites, in fractional coordinates, are Tb at (0.2305, 0.1474, 0.0000), Pm at (0.2320, 0.3157, 0.5000), Nd at (0.0000, 0.0000, 0.5000) and Ho at (0.0000, 0.5000, 0.5000).

As for the volume: 34.02 Å³ per atom. For the total energy, the calculation gives -53.07 eV/cell. The formation energy comes out at 0.262 eV per atom. Its density of states at the Fermi level is 1.688 states/eV per atom.